## a
## CaZn3Pb (GGA-PBE)

Data for crystalline CaZn3Pb at its relaxed geometry.

## Properties
Space group: No. 221

a b c (Å): 5.3501 5.3501 5.3501
angles (deg): 90.00 90.00 90.00
Fractional coordinates of all 5 atoms:
Pb 0.0000 0.0000 0.0000
Zn 0.0000 0.5000 0.0000
Zn 0.0000 0.0000 0.5000
Zn 0.5000 0.0000 0.0000
Ca 0.5000 0.5000 0.5000


## b
## CaZn3Pb (GGA-PBE)

Data for crystalline CaZn3Pb at its relaxed geometry.

## Properties
Space group: No. 221

a b c (Å): 5.4565 5.4565 5.4565
angles (deg): 90.00 90.00 90.00
Fractional coordinates of all 5 atoms:
Pb 0.5000 0.5000 0.5000
Zn 0.0000 0.5000 0.0000
Zn 0.0000 0.0000 0.5000
Zn 0.5000 0.0000 0.0000
Ca 0.0000 0.0000 0.0000


Short version: b is the least stable of them.


## a
## CaZn2Pb2 (GGA-PBE)

Data for crystalline CaZn2Pb2 at its relaxed geometry.

## Properties
Space group: No. 127

a b c (Å): 8.3735 8.3735 3.7284
angles (deg): 90.00 90.00 90.00
Fractional coordinates of all 10 atoms:
Pb 0.3608 0.8608 0.0000
Pb 0.8608 0.6392 0.0000
Pb 0.6392 0.1392 0.0000
Pb 0.1392 0.3608 0.0000
Zn 0.1570 0.6570 0.5000
Zn 0.6570 0.8430 0.5000
Zn 0.8430 0.3430 0.5000
Zn 0.3430 0.1570 0.5000
Ca 0.0000 0.0000 0.0000
Ca 0.5000 0.5000 0.0000


## b
## CaZn2Pb2 (GGA-PBE)

Data for crystalline CaZn2Pb2 at its relaxed geometry.

## Properties
Space group: No. 127

a b c (Å): 7.9625 7.9625 3.9718
angles (deg): 90.00 90.00 90.00
Fractional coordinates of all 10 atoms:
Pb 0.1839 0.6839 0.5000
Pb 0.6839 0.8161 0.5000
Pb 0.8161 0.3161 0.5000
Pb 0.3161 0.1839 0.5000
Zn 0.3856 0.8856 0.0000
Zn 0.8856 0.6144 0.0000
Zn 0.6144 0.1144 0.0000
Zn 0.1144 0.3856 0.0000
Ca 0.0000 0.0000 0.0000
Ca 0.5000 0.5000 0.0000


Short version: a is the least stable of them.


## a
## CaZn2Pb2 (GGA-PBE)

Data for crystalline CaZn2Pb2 at its relaxed geometry.

## Properties
Space group: No. 139

a b c (Å): 4.4143 4.4143 7.4461
angles (deg): 72.76 72.76 90.00
Fractional coordinates of all 5 atoms:
Pb 0.3835 0.3835 0.2330
Pb 0.6165 0.6165 0.7670
Zn 0.7500 0.2500 0.5000
Zn 0.2500 0.7500 0.5000
Ca 0.0000 0.0000 0.0000


## b
## CaZn2Pb2 (GGA-PBE)

Data for crystalline CaZn2Pb2 at its relaxed geometry.

## Properties
Space group: No. 139

a b c (Å): 4.7718 4.7718 6.6781
angles (deg): 69.07 69.07 90.00
Fractional coordinates of all 5 atoms:
Pb 0.7500 0.2500 0.5000
Pb 0.2500 0.7500 0.5000
Zn 0.3960 0.3960 0.2081
Zn 0.6040 0.6040 0.7919
Ca 0.0000 0.0000 0.0000


Short version: a is the least stable of them.


## a
## CaZr3Pb (GGA-PBE)

Data for crystalline CaZr3Pb at its relaxed geometry.

## Properties
Space group: No. 221

a b c (Å): 5.1267 5.1267 5.1267
angles (deg): 90.00 90.00 90.00
Site moments in Bohr magnetons follow the coordinates.
Fractional coordinates of all 5 atoms:
Pb 0.5000 0.5000 0.5000  -0.01
Ca 0.0000 0.0000 0.0000  0.18
Zr 0.0000 0.5000 0.0000  0.45
Zr 0.0000 0.0000 0.5000  0.34
Zr 0.5000 0.0000 0.0000  0.44


## b
## CaZr3Pb (GGA-PBE)

Data for crystalline CaZr3Pb at its relaxed geometry.

## Properties
Space group: No. 221

a b c (Å): 5.4938 5.4938 5.4938
angles (deg): 90.00 90.00 90.00
Fractional coordinates of all 5 atoms:
Pb 0.0000 0.0000 0.0000
Ca 0.5000 0.5000 0.5000
Zr 0.0000 0.5000 0.0000
Zr 0.0000 0.0000 0.5000
Zr 0.5000 0.0000 0.0000


Short version: a is the least stable of them.


## a
## Ca2ZrPb2 (GGA-PBE)

Data for crystalline Ca2ZrPb2 at its relaxed geometry.

## Properties
Space group: No. 127

a b c (Å): 8.8181 8.8181 3.7091
angles (deg): 90.00 90.00 90.00
Fractional coordinates of all 10 atoms:
Pb 0.3323 0.8323 0.0000
Pb 0.8323 0.6677 0.0000
Pb 0.6677 0.1677 0.0000
Pb 0.1677 0.3323 0.0000
Ca 0.1367 0.6367 0.5000
Ca 0.6367 0.8633 0.5000
Ca 0.8633 0.3633 0.5000
Ca 0.3633 0.1367 0.5000
Zr 0.0000 0.0000 0.0000
Zr 0.5000 0.5000 0.0000


## b
## Ca2ZrPb2 (GGA-PBE)

Data for crystalline Ca2ZrPb2 at its relaxed geometry.

## Properties
Space group: No. 139

a b c (Å): 4.4962 4.4962 8.8602
angles (deg): 75.30 75.30 90.00
Site moments in Bohr magnetons follow the coordinates.
Fractional coordinates of all 5 atoms:
Pb 0.7500 0.2500 0.5000  -0.03
Pb 0.2500 0.7500 0.5000  -0.03
Ca 0.3993 0.3993 0.2014  0.08
Ca 0.6007 0.6007 0.7986  0.08
Zr 0.0000 0.0000 0.0000  1.24


Short version: b is the least stable of them.


## a
## Ca4Pd (GGA-PBE)

Data for crystalline Ca4Pd at its relaxed geometry.

## Properties
Space group: No. 15

a b c (Å): 6.2894 7.3831 8.7993
angles (deg): 114.76 110.89 90.01
Fractional coordinates of all 10 atoms:
Ca 0.6686 0.0211 0.3375
Ca 0.1688 0.3165 0.3378
Ca 0.4244 0.6090 0.8487
Ca 0.9243 0.2397 0.8484
Ca 0.5756 0.3910 0.1513
Ca 0.0757 0.7603 0.1516
Ca 0.8312 0.6835 0.6622
Ca 0.3314 0.9789 0.6625
Pd 0.7502 0.0000 0.0000
Pd 0.2498 0.0000 0.0000


## b
## Ca4Pd (GGA-PBE)

Data for crystalline Ca4Pd at its relaxed geometry.

## Properties
Space group: No. 221

a b c (Å): 5.6868 5.6868 5.6868
angles (deg): 90.00 90.00 90.00
Fractional coordinates of all 5 atoms:
Ca 0.0000 0.0000 0.0000
Ca 0.5000 0.0000 0.5000
Ca 0.0000 0.5000 0.5000
Ca 0.5000 0.5000 0.0000
Pd 0.5000 0.5000 0.5000


Short version: b is the least stable of them.


## a
## CaPd6 (GGA-PBE)

Data for crystalline CaPd6 at its relaxed geometry.

## Properties
Space group: No. 62

a b c (Å): 5.3390 8.7426 10.6386
angles (deg): 90.00 90.00 90.00
Fractional coordinates of all 28 atoms:
Ca 0.7500 0.2452 0.9405
Ca 0.2500 0.7548 0.0595
Ca 0.7500 0.7452 0.5595
Ca 0.2500 0.2548 0.4405
Pd 0.7500 0.6074 0.0191
Pd 0.2500 0.3926 0.9809
Pd 0.7500 0.1074 0.4809
Pd 0.2500 0.8926 0.5191
Pd 0.0054 0.4373 0.1985
Pd 0.5054 0.5627 0.8015
Pd 0.4946 0.9373 0.3015
Pd 0.9946 0.0627 0.6985
Pd 0.9946 0.5627 0.8015
Pd 0.4946 0.4373 0.1985
Pd 0.5054 0.0627 0.6985
Pd 0.0054 0.9373 0.3015
Pd 0.2500 0.1585 0.1600
Pd 0.7500 0.8415 0.8400
Pd 0.2500 0.6585 0.3400
Pd 0.7500 0.3415 0.6600
Pd 0.2500 0.8162 0.7677
Pd 0.7500 0.1838 0.2323
Pd 0.2500 0.3162 0.7323
Pd 0.7500 0.6838 0.2677
Pd 0.2500 0.5618 0.5761
Pd 0.7500 0.4382 0.4239
Pd 0.2500 0.0618 0.9239
Pd 0.7500 0.9382 0.0761


## b
## CaPd6 (GGA-PBE)

Data for crystalline CaPd6 at its relaxed geometry.

## Properties
Space group: No. 221

a b c (Å): 6.0548 6.0548 6.0548
angles (deg): 90.00 90.00 90.00
Fractional coordinates of all 7 atoms:
Ca 0.0000 0.0000 0.0000
Pd 0.1964 0.5000 0.5000
Pd 0.5000 0.5000 0.8036
Pd 0.5000 0.5000 0.1964
Pd 0.5000 0.1964 0.5000
Pd 0.5000 0.8036 0.5000
Pd 0.8036 0.5000 0.5000


Short version: b is the least stable of them.


## a
## Ca5Pd (GGA-PBE)

Data for crystalline Ca5Pd at its relaxed geometry.

## Properties
Space group: No. 65

a b c (Å): 5.7884 4.2834 8.4687
angles (deg): 104.65 90.00 90.00
Fractional coordinates of all 6 atoms:
Ca 0.5000 0.8332 0.6664
Ca 0.0000 0.6322 0.2644
Ca 0.5000 0.5000 0.0000
Ca 0.0000 0.3678 0.7356
Ca 0.5000 0.1668 0.3336
Pd 0.0000 0.0000 0.0000


## b
## Ca5Pd (GGA-PBE)

Data for crystalline Ca5Pd at its relaxed geometry.

## Properties
Space group: No. 51

a b c (Å): 4.2859 9.0802 10.8370
angles (deg): 90.00 90.00 90.00
Fractional coordinates of all 12 atoms:
Ca 0.0000 0.4045 0.2500
Ca 0.0000 0.5955 0.7500
Ca 0.0000 0.0000 0.0000
Ca 0.0000 0.0000 0.5000
Ca 0.5000 0.0501 0.2500
Ca 0.5000 0.9499 0.7500
Ca 0.5000 0.6881 0.0765
Ca 0.5000 0.3119 0.9235
Ca 0.5000 0.6881 0.4235
Ca 0.5000 0.3119 0.5765
Pd 0.0000 0.8111 0.2500
Pd 0.0000 0.1889 0.7500


Short version: a is the least stable of them.


## a
## CaPmPd2 (GGA-PBE)

Data for crystalline CaPmPd2 at its relaxed geometry.

## Properties
Space group: No. 166

a b c (Å): 4.1378 4.1378 7.3265
angles (deg): 73.60 73.60 60.00
Fractional coordinates of all 4 atoms:
Ca 0.5000 0.5000 0.5000
Pd 0.7479 0.7479 0.7564
Pd 0.2521 0.2521 0.2436
Pm 0.0000 0.0000 0.0000


## b
## CaPmPd2 (GGA-PBE)

Data for crystalline CaPmPd2 at its relaxed geometry.

## Properties
Space group: No. 225

a b c (Å): 5.0337 5.0337 5.0337
angles (deg): 60.00 60.00 60.00
Fractional coordinates of all 4 atoms:
Ca 0.5000 0.5000 0.5000
Pd 0.7500 0.7500 0.7500
Pd 0.2500 0.2500 0.2500
Pm 0.0000 0.0000 0.0000


Short version: a is the least stable of them.


## a
## CaPmPd2 (GGA-PBE)

Data for crystalline CaPmPd2 at its relaxed geometry.

## Properties
Space group: No. 160

a b c (Å): 4.0565 4.0565 7.5710
angles (deg): 74.46 74.46 60.00
Fractional coordinates of all 4 atoms:
Ca 0.4971 0.4971 0.5086
Pm 0.6686 0.6686 0.9942
Pd 0.0834 0.0834 0.7498
Pd 0.2509 0.2509 0.2474


## b
## CaPmPd2 (GGA-PBE)

Data for crystalline CaPmPd2 at its relaxed geometry.

## Properties
Space group: No. 123

a b c (Å): 3.5758 3.5758 7.1285
angles (deg): 90.00 90.00 90.00
Fractional coordinates of all 4 atoms:
Ca 0.5000 0.5000 0.5000
Pd 0.0000 0.0000 0.7620
Pd 0.0000 0.0000 0.2380
Pm 0.5000 0.5000 0.0000


Short version: a is the least stable of them.


## a
## CaPm4Pd2 (GGA-PBE)

Data for crystalline CaPm4Pd2 at its relaxed geometry.

## Properties
Space group: No. 11

a b c (Å): 6.6037 8.0387 8.2955
angles (deg): 111.73 90.00 90.00
Fractional coordinates of all 14 atoms:
Ca 0.2500 0.8436 0.9780
Ca 0.7500 0.1564 0.0220
Pd 0.2500 0.2710 0.9974
Pd 0.7500 0.7290 0.0026
Pd 0.7500 0.3833 0.4183
Pd 0.2500 0.6167 0.5817
Pm 0.5038 0.4031 0.7621
Pm 0.2500 0.2468 0.3433
Pm 0.7500 0.7532 0.6567
Pm 0.9962 0.4031 0.7621
Pm 0.7500 0.0213 0.3899
Pm 0.0038 0.5969 0.2379
Pm 0.4962 0.5969 0.2379
Pm 0.2500 0.9787 0.6101


## b
## CaPm4Pd2 (GGA-PBE)

Data for crystalline CaPm4Pd2 at its relaxed geometry.

## Properties
Space group: No. 1

a b c (Å): 6.3670 8.6898 10.0440
angles (deg): 124.37 103.12 99.03
Fractional coordinates of all 14 atoms:
Ca 0.9388 0.5292 0.4737
Ca 0.4040 0.0929 0.0451
Pm 0.9005 0.9383 0.1800
Pm 0.4080 0.6343 0.2931
Pm 0.7517 0.9020 0.7748
Pm 0.7905 0.1664 0.5832
Pm 0.3894 0.3585 0.4818
Pm 0.2614 0.0335 0.6088
Pm 0.2778 0.5933 0.8931
Pm 0.7704 0.4373 0.0225
Pd 0.7603 0.5811 0.8126
Pd 0.4100 0.9476 0.2575
Pd 0.0137 0.2533 0.1532
Pd 0.1735 0.2825 0.9205


Short version: a is the least stable of them.


## a
## Ca2PmPd3 (GGA-PBE)

Data for crystalline Ca2PmPd3 at its relaxed geometry.

## Properties
Space group: No. 164

a b c (Å): 5.0354 5.0354 6.1271
angles (deg): 90.00 90.00 120.00
Fractional coordinates of all 6 atoms:
Ca 0.6667 0.3333 0.3451
Ca 0.3333 0.6667 0.6549
Pm 0.0000 0.0000 0.0000
Pd 0.0000 0.0000 0.5000
Pd 0.6667 0.3333 0.8519
Pd 0.3333 0.6667 0.1481


## b
## Ca2PmPd3 (GGA-PBE)

Data for crystalline Ca2PmPd3 at its relaxed geometry.

## Properties
Space group: No. 65

a b c (Å): 7.8999 7.8999 7.2007
angles (deg): 90.00 90.00 142.94
Fractional coordinates of all 12 atoms:
Ca 0.0000 0.0000 0.0000
Ca 0.0000 0.0000 0.5000
Ca 0.3330 0.6670 0.5000
Ca 0.6670 0.3330 0.5000
Pm 0.3369 0.6631 0.0000
Pm 0.6631 0.3369 0.0000
Pd 0.8294 0.1706 0.7619
Pd 0.5000 0.5000 0.2495
Pd 0.1706 0.8294 0.2381
Pd 0.8294 0.1706 0.2381
Pd 0.1706 0.8294 0.7619
Pd 0.5000 0.5000 0.7505


Short version: a is the least stable of them.